Density functional theory data (PBE-GGA) for a relaxed structure of Ac6Ge2TeP3.

```
Ac6Ge2TeP3
1.0
-3.233 2.571 1.697
-6.131 -6.791 -1.390
5.077 -2.995 8.336
Ac Ge Te P
6 2 1 3
Direct
0.327 0.920 0.654 Ac
0.666 0.591 0.331 Ac
0.673 0.080 0.346 Ac
0.999 0.270 0.998 Ac
0.001 0.730 0.002 Ac
0.334 0.409 0.669 Ac
0.834 0.668 0.668 Ge
0.166 0.332 0.332 Ge
0.500 0.000 0.000 Te
0.500 0.500 0.000 P
0.836 0.166 0.672 P
0.164 0.834 0.328 P
```

Output
The density of states at the Fermi level is 7.50 states/eV per cell. The total energy is -67.680 eV/cell. For the volume, the calculation gives 33.3 Å³/atom. The value obtained for the uncorrected formation energy is -1.202 eV per atom.